TbNdBi (PBE, optimized geometry); raw total energy = -29.53 eV per cell; N(E_F) = 1.30 states/eV/atom; symmetry = No. 129; total moment = 0.007 μB per atom
1.0
4.1600 0.0000 0.0000
0.0000 4.1600 0.0000
0.0000 0.0000 10.5408
Tb Nd Bi
2 2 2
direct
0.2500 0.2500 0.0908
0.7500 0.7500 0.9092
0.2500 0.2500 0.4054
0.7500 0.7500 0.5946
0.2500 0.2500 0.7585
0.7500 0.7500 0.2415

Tb4Nd3Bi4 (PBE, optimized geometry); raw total energy = -53.19 eV per cell; N(E_F) = 1.01 states/eV/atom; symmetry = No. 71; total moment = 0.009 μB per atom
1.0
-2.1940 2.3065 18.1404
2.1940 -2.3065 18.1404
2.1940 2.3065 -18.1404
Tb Nd Bi
4 3 4
direct
0.0975 0.0975 0.0000
0.2502 0.7502 0.5000
0.7498 0.2498 0.5000
0.9025 0.9025 0.0000
0.0000 0.5000 0.5000
0.3430 0.3430 0.0000
0.6570 0.6570 0.0000
0.1840 0.1840 0.0000
0.4563 0.9563 0.5000
0.5437 0.0437 0.5000
0.8160 0.8160 0.0000

TbNd3Bi3 (PBE, optimized geometry); N(E_F) = 0.70 states/eV/atom; symmetry = No. 148; energy above the lowest structure with this stoichiometry = 0.090 eV per atom; total moment = 0.000 μB per atom
1.0
4.6772 2.7004 6.4422
-4.6772 2.7004 6.4422
0.0000 -5.4007 6.4422
Tb Nd Bi
2 6 6
direct
0.1672 0.1672 0.1672
0.8328 0.8328 0.8328
0.1568 0.4114 0.6768
0.3232 0.8432 0.5886
0.4114 0.6768 0.1568
0.5886 0.3232 0.8432
0.6768 0.1568 0.4114
0.8432 0.5886 0.3232
0.0275 0.8076 0.4226
0.1924 0.5774 0.9725
0.4226 0.0275 0.8076
0.5774 0.9725 0.1924
0.8076 0.4226 0.0275
0.9725 0.1924 0.5774

Tb2NdBi3 (PBE, optimized geometry); raw total energy = -31.07 eV per cell; N(E_F) = 0.22 states/eV/atom; symmetry = No. 71; total moment = 0.000 μB per atom
1.0
-2.2664 3.2049 6.7983
2.2664 -3.2049 6.7983
2.2664 3.2049 -6.7983
Tb Nd Bi
2 1 3
direct
0.1654 0.1654 0.0000
0.8346 0.8346 0.0000
0.5000 0.5000 0.0000
0.0000 0.5000 0.5000
0.3291 0.8291 0.5000
0.6709 0.1709 0.5000

TbNd4Bi2 (PBE, optimized geometry); raw total energy = -30.34 eV per cell; N(E_F) = 1.14 states/eV/atom; symmetry = No. 139; total moment = 0.000 μB per atom
1.0
-2.7431 2.7431 8.6519
2.7431 -2.7431 8.6519
2.7431 2.7431 -8.6519
Tb Nd Bi
1 4 2
direct
0.0000 0.0000 0.0000
0.0000 0.5000 0.5000
0.1820 0.1820 0.0000
0.5000 0.0000 0.5000
0.8180 0.8180 0.0000
0.3657 0.3657 0.0000
0.6343 0.6343 0.0000

Tb2Nd2Bi5 (PBE, optimized geometry); raw total energy = -88.88 eV per cell; N(E_F) = 0.69 states/eV/atom; symmetry = No. 64; total moment = 0.000 μB per atom
1.0
8.1578 -4.1713 0.0000
8.1578 4.1713 0.0000
0.0000 0.0000 8.5256
Tb Nd Bi
4 4 10
direct
0.1549 0.8451 0.8409
0.3451 0.6549 0.3409
0.6549 0.3451 0.6591
0.8451 0.1549 0.1591
0.1926 0.1926 0.5000
0.3074 0.3074 0.0000
0.6926 0.6926 0.0000
0.8074 0.8074 0.5000
0.0000 0.0000 0.5000
0.0117 0.7134 0.1492
0.2134 0.5117 0.6492
0.2866 0.9883 0.1492
0.4883 0.7866 0.6492
0.5000 0.5000 0.0000
0.5117 0.2134 0.3508
0.7134 0.0117 0.8508
0.7866 0.4883 0.3508
0.9883 0.2866 0.8508

TbNdBi2 (PBE, optimized geometry); N(E_F) = 0.24 states/eV/atom; symmetry = No. 194; energy above the lowest structure with this stoichiometry = 0.070 eV per atom; total moment = 0.000 μB per atom
1.0
4.5413 0.0000 0.0000
-2.2706 3.9328 0.0000
0.0000 0.0000 15.0412
Tb Nd Bi
2 2 4
direct
0.3333 0.6667 0.2500
0.6667 0.3333 0.7500
0.0000 0.0000 0.0000
0.0000 0.0000 0.5000
0.3333 0.6667 0.6261
0.3333 0.6667 0.8739
0.6667 0.3333 0.1261
0.6667 0.3333 0.3739

Tb2NdBi (PBE, optimized geometry); N(E_F) = 1.23 states/eV/atom; symmetry = No. 160; energy above the lowest structure with this stoichiometry = 0.271 eV per atom; total moment = 0.095 μB per atom
1.0
2.0385 1.1770 9.6686
-2.0385 1.1770 9.6686
0.0000 -2.3539 9.6686
Tb Nd Bi
2 1 1
direct
0.0000 0.0000 0.0000
0.1946 0.1946 0.1946
0.4311 0.4311 0.4311
0.5970 0.5970 0.5970

Tb8NdBi6 (PBE, optimized geometry); raw total energy = -73.24 eV per cell; N(E_F) = 0.61 states/eV/atom; symmetry = No. 148; total moment = 0.000 μB per atom
1.0
3.8688 2.2337 9.8211
-3.8688 2.2337 9.8211
0.0000 -4.4673 9.8211
Tb Nd Bi
8 1 6
direct
0.0513 0.3768 0.7076
0.1665 0.1665 0.1665
0.2924 0.9487 0.6232
0.3768 0.7076 0.0513
0.6232 0.2924 0.9487
0.7076 0.0513 0.3768
0.8335 0.8335 0.8335
0.9487 0.6232 0.2924
0.5000 0.5000 0.5000
0.0971 0.7749 0.4376
0.2251 0.5624 0.9029
0.4376 0.0971 0.7749
0.5624 0.9029 0.2251
0.7749 0.4376 0.0971
0.9029 0.2251 0.5624

Tb3Nd4Bi4 (PBE, optimized geometry); raw total energy = -54.86 eV per cell; N(E_F) = 1.22 states/eV/atom; symmetry = No. 71; total moment = 0.001 μB per atom
1.0
-2.0559 4.6619 9.2257
2.0559 -4.6619 9.2257
2.0559 4.6619 -9.2257
Tb Nd Bi
3 4 4
direct
0.0000 0.0000 0.0000
0.4036 0.9036 0.5000
0.5964 0.0964 0.5000
0.0080 0.3334 0.6746
0.3413 0.6666 0.6746
0.6587 0.3334 0.3254
0.9920 0.6666 0.3254
0.2730 0.2730 0.0000
0.2896 0.5000 0.7896
0.7104 0.5000 0.2104
0.7270 0.7270 0.0000

TbNdBi6 (PBE, optimized geometry); raw total energy = -35.48 eV per cell; N(E_F) = 0.57 states/eV/atom; symmetry = No. 38; total moment = 0.000 μB per atom
1.0
4.6562 0.0000 0.0000
0.0000 2.3465 11.6520
0.0000 -2.3465 11.6520
Tb Nd Bi
1 1 6
direct
0.0000 0.0000 0.0000
0.5000 0.3510 0.3510
0.0000 0.2404 0.2404
0.0000 0.6145 0.6145
0.0000 0.8642 0.8642
0.5000 0.1080 0.1080
0.5000 0.4896 0.4896
0.5000 0.7344 0.7344

Tb2NdBi (PBE, optimized geometry); N(E_F) = 0.86 states/eV/atom; symmetry = No. 166; energy above the lowest structure with this stoichiometry = 0.479 eV per atom; total moment = 0.000 μB per atom
1.0
1.7897 1.0333 12.1499
-1.7897 1.0333 12.1499
0.0000 -2.0666 12.1499
Tb Nd Bi
2 1 1
direct
0.0867 0.0867 0.0867
0.9133 0.9133 0.9133
0.5000 0.5000 0.5000
0.0000 0.0000 0.0000

Tb2NdBi (PBE, optimized geometry); N(E_F) = 1.38 states/eV/atom; symmetry = No. 11; energy above the lowest structure with this stoichiometry = 0.000 eV per atom; total moment = 0.000 μB per atom
1.0
4.6933 0.0000 0.0000
0.0000 4.6566 0.0000
-2.3506 0.0000 11.6650
Tb Nd Bi
4 2 2
direct
0.0583 0.2500 0.1166
0.4407 0.2500 0.8816
0.5593 0.7500 0.1184
0.9417 0.7500 0.8834
0.3057 0.7500 0.6124
0.6943 0.2500 0.3876
0.1656 0.7500 0.3295
0.8344 0.2500 0.6705

TbNdBi (PBE, optimized geometry); raw total energy = -14.17 eV per cell; N(E_F) = 1.09 states/eV/atom; symmetry = No. 156; total moment = 0.000 μB per atom
1.0
5.2592 0.0000 0.0000
-2.6296 4.5546 0.0000
0.0000 0.0000 4.1116
Tb Nd Bi
1 1 1
direct
0.0000 0.0000 0.0000
0.6667 0.3333 0.4731
0.3333 0.6667 0.8317

TbNdBiTe (PBE, optimized geometry); N(E_F) = 0.46 states/eV/atom; formation energy from raw total energies = -1159.5 meV per atom; symmetry = No. 160; total moment = 0.000 μB per atom
1.0
2.2513 1.2998 7.3238
-2.2513 1.2998 7.3238
0.0000 -2.5996 7.3238
Tb Nd Bi Te
1 1 1 1
direct
0.0000 0.0000 0.0000
0.5007 0.5007 0.5007
0.2532 0.2532 0.2532
0.7472 0.7472 0.7472

TbNdTh2Bi5 (PBE, optimized geometry); raw total energy = -43.33 eV per cell; N(E_F) = 0.55 states/eV/atom; symmetry = No. 123; total moment = 0.000 μB per atom
1.0
5.4274 0.0000 0.0000
0.0000 5.4274 0.0000
0.0000 0.0000 11.8984
Tb Nd Th Bi
1 1 2 5
direct
0.0000 0.0000 0.0000
0.0000 0.0000 0.5000
0.5000 0.5000 0.1999
0.5000 0.5000 0.8001
0.0000 0.0000 0.2496
0.0000 0.0000 0.7504
0.0000 0.5000 0.0000
0.5000 0.0000 0.0000
0.5000 0.5000 0.5000

TbNd2ThBi5 (PBE, optimized geometry); raw total energy = -40.51 eV per cell; N(E_F) = 0.79 states/eV/atom; symmetry = No. 123; total moment = 0.000 μB per atom
1.0
5.7438 0.0000 0.0000
0.0000 5.7438 0.0000
0.0000 0.0000 11.9469
Tb Nd Th Bi
1 2 1 5
direct
0.0000 0.0000 0.0000
0.5000 0.5000 0.2779
0.5000 0.5000 0.7220
0.0000 0.0000 0.5000
0.0000 0.0000 0.2427
0.0000 0.0000 0.7573
0.0000 0.5000 0.5000
0.5000 0.0000 0.5000
0.5000 0.5000 0.0000

Tb2NdTh3Bi6 (PBE, optimized geometry); raw total energy = -68.40 eV per cell; N(E_F) = 0.56 states/eV/atom; symmetry = No. 12; total moment = 0.000 μB per atom
1.0
9.9480 -2.2853 0.0000
9.9480 2.2853 0.0000
-2.0633 0.0000 8.8728
Tb Nd Th Bi
2 1 3 6
direct
0.1668 0.1668 0.3331
0.8332 0.8332 0.6669
0.5000 0.5000 0.0000
0.1650 0.1650 0.8328
0.5000 0.5000 0.5000
0.8350 0.8350 0.1672
0.0027 0.0027 0.2512
0.3315 0.3315 0.4210
0.3324 0.3324 0.9109
0.6676 0.6676 0.0891
0.6685 0.6685 0.5790
0.9973 0.9973 0.7488

Tb3NdTh2Bi6 (PBE, optimized geometry); raw total energy = -66.30 eV per cell; N(E_F) = 0.42 states/eV/atom; symmetry = No. 12; total moment = 0.000 μB per atom
1.0
9.9015 -2.2778 0.0000
9.9015 2.2778 0.0000
-2.0517 0.0000 8.8463
Tb Nd Th Bi
3 1 2 6
direct
0.0000 0.0000 0.0000
0.3344 0.3344 0.6664
0.6656 0.6656 0.3336
0.0000 0.0000 0.5000
0.3346 0.3346 0.1690
0.6654 0.6654 0.8310
0.1654 0.1654 0.0873
0.1687 0.1687 0.5790
0.4984 0.4984 0.7548
0.5016 0.5016 0.2452
0.8313 0.8313 0.4210
0.8346 0.8346 0.9127

TbNdTh2Bi4 (PBE, optimized geometry); raw total energy = -45.70 eV per cell; N(E_F) = 0.59 states/eV/atom; symmetry = No. 10; total moment = 0.000 μB per atom
1.0
7.9015 0.0000 0.0000
0.0000 4.5848 0.0000
-2.6682 0.0000 7.4746
Tb Nd Th Bi
1 1 2 4
direct
0.0000 0.0000 0.0000
0.0000 0.5000 0.5000
0.5000 0.0000 0.5000
0.5000 0.5000 0.0000
0.2448 0.5000 0.2450
0.2474 0.0000 0.7525
0.7526 0.0000 0.2475
0.7552 0.5000 0.7550